This record from the Alexandria database describes a relaxed VCrGeO5 crystal. The functional is GGA+U.

The calculated volume comes out at 367 Å³ per cell. The calculation puts the magnetic moment at 5.00 μB per formula unit. As for the density: 4.63 g/cm³. The crystal system is monoclinic. The total energy is -7.30 eV per atom.

It has space group C2/c (No. 15), with a = 6.658 Å, b = 8.544 Å, c = 7.150 Å, α = 90.00°, β = 115.66° and γ = 90.00°. The inequivalent atoms are V at (0.000, 0.185, 0.250), Cr at (0.000, 0.500, 0.000), Ge at (0.000, 0.166, 0.750), O at (0.000, 0.403, 0.250), O at (0.117, 0.281, 0.615) and O at (0.177, 0.024, 0.920).